1.
Material: K2Rb3TlI6
Method: DFT, GGA-PBE
State: optimized geometry

The calculation puts the formation energy without anion corrections at -1.353 eV/atom. As for the space-group type: C2/m. The mass density is 3.7 g cm⁻³.

Cell: 11.5644 11.5644 10.3539 Å, 102.92 102.92 25.83°
With the nearest neighbours (Å) after each atom.
Sites, in units of the cell vectors:
K (0.1666, 0.1666, 0.3317)  6 I 3.60-3.61
K (0.8334, 0.8334, 0.6683)  6 I 3.60-3.61
Rb (0.1661, 0.1661, 0.8326)  6 I 3.70-3.73
Rb (0.5000, 0.5000, 0.5000)  6 I 3.71-3.72
Rb (0.8339, 0.8339, 0.1674)  6 I 3.70-3.73
Tl (0.5000, 0.5000, 0.0000)  6 I 3.60
I (0.0027, 0.0027, 0.2432)  1 K 3.60, 2 Tl 3.60, 3 Rb 3.70-3.72
I (0.3310, 0.3310, 0.4238)  3 K 3.61, 3 Rb 3.71-3.72
I (0.3360, 0.3360, 0.9116)  1 Tl 3.60, 2 K 3.60, 3 Rb 3.71-3.73
I (0.6640, 0.6640, 0.0884)  1 Tl 3.60, 2 K 3.60, 3 Rb 3.71-3.73
I (0.6690, 0.6690, 0.5762)  3 K 3.61, 3 Rb 3.71-3.72
I (0.9973, 0.9973, 0.7568)  1 K 3.60, 2 Tl 3.60, 3 Rb 3.70-3.72



2.
Material: Tl3C5
Method: DFT, GGA-PBE
State: optimized geometry

The excess energy over the best structure of this formula in the dataset is 0.000 eV per atom. As for the space-group type: Pm. The mass density is 7.9 g cm⁻³.

Cell: 10.3250 2.6666 11.4981 Å, 90.00 116.10 90.00°
With the nearest neighbours (Å) after each atom.
Sites, in units of the cell vectors:
Tl (0.0000, 0.0000, 0.0000)  2 Tl 2.67
Tl (0.0090, 0.5000, 0.6999)  1 C 2.50, 2 Tl 2.67
Tl (0.3009, 0.5000, 0.4255)  1 C 2.37
Tl (0.3519, 0.0000, 0.7290)  2 Tl 2.67
Tl (0.6671, 0.5000, 0.9987)  1 C 2.37
Tl (0.7189, 0.0000, 0.3532)  2 Tl 2.67
C (0.2301, 0.5000, 0.9119)  2 C 1.47
C (0.2852, 0.0000, 0.9625)  3 C 1.47-1.60
C (0.3548, 0.5000, 0.2449)  2 C 1.47
C (0.3766, 0.0000, 0.2026)  3 C 1.47-1.57
C (0.4314, 0.0000, 0.0946)  4 C 1.55-1.60
C (0.5112, 0.5000, 0.1004)  2 C 1.55
C (0.6277, 0.2503, 0.6135)  2 C 1.33
C (0.6277, 0.7497, 0.6135)  2 C 1.33
C (0.9679, 0.2498, 0.2827)  2 C 1.33
C (0.9679, 0.7502, 0.2827)  2 C 1.33



3.
Material: CuAsPd14
Method: DFT, GGA-PBE
State: optimized geometry

The energy is -5.159 eV/atom. As for the space-group type: Amm2. The mass density is 11.0 g cm⁻³.

Cell: 9.0824 5.5166 5.5166 Å, 62.40 90.00 90.00°
With the nearest neighbours (Å) after each atom.
Sites, in units of the cell vectors:
Cu (0.0000, 0.0000, 0.0000)  10 Pd 2.62-2.92, 2 As 2.86
As (0.0000, 0.4961, 0.4961)  8 Pd 2.60-2.88, 2 Cu 2.86
Pd (0.0000, 0.0134, 0.5066)  2 As 2.64-2.88, 2 Cu 2.69-2.83, 8 Pd 2.74-2.90
Pd (0.0000, 0.5066, 0.0134)  2 As 2.64-2.88, 2 Cu 2.69-2.83, 8 Pd 2.74-2.90
Pd (0.2334, 0.3080, 0.7978)  1 As 2.60, 1 Cu 2.62, 8 Pd 2.74-2.90
Pd (0.2334, 0.7978, 0.3080)  1 As 2.60, 1 Cu 2.62, 8 Pd 2.74-2.90
Pd (0.2514, 0.8072, 0.8072)  11 Pd 2.74-2.86, 1 Cu 2.92
Pd (0.2561, 0.2998, 0.2998)  11 Pd 2.73-2.86, 1 As 2.97
Pd (0.5000, 0.1194, 0.1194)  12 Pd 2.72-2.90
Pd (0.5000, 0.1257, 0.6241)  12 Pd 2.72-2.95
Pd (0.5000, 0.6241, 0.1257)  12 Pd 2.72-2.95
Pd (0.5000, 0.6241, 0.6241)  12 Pd 2.75-2.88
Pd (0.7439, 0.2998, 0.2998)  11 Pd 2.73-2.86, 1 As 2.97
Pd (0.7486, 0.8072, 0.8072)  11 Pd 2.74-2.86, 1 Cu 2.92
Pd (0.7666, 0.3080, 0.7978)  1 As 2.60, 1 Cu 2.62, 8 Pd 2.74-2.90
Pd (0.7666, 0.7978, 0.3080)  1 As 2.60, 1 Cu 2.62, 8 Pd 2.74-2.90



4.
Material: La7Cd2N2
Method: DFT, GGA-PBE
State: optimized geometry

The calculation puts the formation energy without anion corrections at -0.479 eV/atom. As for the space-group type: C2/m. The mass density is 6.0 g cm⁻³.

Cell: 7.1287 7.1287 6.7010 Å, 95.98 95.98 89.80°
With the nearest neighbours (Å) after each atom.
Sites, in units of the cell vectors:
La (0.0000, 0.0000, 0.0000)  2 N 2.41
La (0.1332, 0.4849, 0.8007)  1 N 2.35
La (0.3781, 0.3781, 0.2987)  1 N 2.34
La (0.4849, 0.1332, 0.8007)  1 N 2.35
La (0.5151, 0.8668, 0.1993)  1 N 2.35
La (0.6219, 0.6219, 0.7013)  1 N 2.34
La (0.8668, 0.5151, 0.1993)  1 N 2.35
Cd (0.1565, 0.8435, 0.5000)  1 Cd 3.15, 4 La 3.43-3.46
Cd (0.8435, 0.1565, 0.5000)  1 Cd 3.15, 4 La 3.43-3.46
N (0.2375, 0.2375, 0.9891)  4 La 2.34-2.41
N (0.7625, 0.7625, 0.0109)  4 La 2.34-2.41



5.
Material: Ta2BeRe
Method: DFT, GGA-PBE
State: optimized geometry

The excess energy over the best structure of this formula in the dataset is 0.130 eV per atom. As for the space-group type: Fm-3m. The mass density is 14.9 g cm⁻³.

Cell: 4.4434 4.4434 4.4434 Å, 60.00 60.00 60.00°
With the nearest neighbours (Å) after each atom.
Sites, in units of the cell vectors:
Ta (0.2500, 0.2500, 0.2500)  4 Re 2.72, 4 Be 2.72
Ta (0.7500, 0.7500, 0.7500)  4 Be 2.72, 4 Re 2.72
Be (0.0000, 0.0000, 0.0000)  8 Ta 2.72
Re (0.5000, 0.5000, 0.5000)  8 Ta 2.72



6.
Material: BaCuRh2
Method: DFT, GGA-PBE
State: optimized geometry

The excess energy over the best structure of this formula in the dataset is 0.021 eV per atom. As for the space-group type: R-3m. The mass density is 7.2 g cm⁻³.

Cell: 6.1147 6.1147 6.1147 Å, 42.47 42.47 42.47°
With the nearest neighbours (Å) after each atom.
Sites, in units of the cell vectors:
Ba (0.0000, 0.0000, 0.0000)  2 Rh 3.01
Cu (0.5000, 0.5000, 0.5000)  6 Rh 2.57
Rh (0.1804, 0.1804, 0.1804)  3 Cu 2.57, 3 Rh 2.60
Rh (0.8196, 0.8196, 0.8196)  3 Cu 2.57, 3 Rh 2.60



> Which of these has the lowest mass density?

K2Rb3TlI6